RbTiAu3 | meta-GGA SCAN | PBEsol geometry

a = 5.0815 Å, b = 5.0815 Å, c = 5.0815 Å
α = 90.00°, β = 90.00°, γ = 90.00°
Last column: magnetic moment on the atom in μB.
Positions (direct):
Au  0.0000  0.5000  0.0000  0.03
Au  0.0000  0.0000  0.5000  0.03
Au  0.5000  0.0000  0.0000  0.03
Rb  0.5000  0.5000  0.5000  0.00
Ti  0.0000  0.0000  0.0000  1.09


RbTi3Au | meta-GGA SCAN | PBEsol geometry

a = 5.0256 Å, b = 5.0256 Å, c = 5.0256 Å
α = 90.00°, β = 90.00°, γ = 90.00°
Positions (direct):
Au  0.0000  0.0000  0.0000
Rb  0.5000  0.5000  0.5000
Ti  0.0000  0.5000  0.0000
Ti  0.0000  0.0000  0.5000
Ti  0.5000  0.0000  0.0000


Rb2TlAu3 | meta-GGA SCAN | PBEsol geometry

a = 5.6488 Å, b = 6.7088 Å, c = 9.0208 Å
α = 90.00°, β = 90.00°, γ = 90.00°
Positions (direct):
Rb  0.2500  0.5000  0.6323
Rb  0.2500  0.0000  0.8707
Rb  0.7500  0.0000  0.1293
Rb  0.7500  0.5000  0.3677
Tl  0.7500  0.5000  0.9282
Tl  0.2500  0.5000  0.0718
Au  0.0000  0.0000  0.5000
Au  0.5000  0.0000  0.5000
Au  0.7500  0.2089  0.7148
Au  0.7500  0.7911  0.7148
Au  0.2500  0.2089  0.2852
Au  0.2500  0.7911  0.2852


RbTl2Au2 | meta-GGA SCAN | PBEsol geometry

a = 5.1710 Å, b = 5.1710 Å, c = 6.4918 Å
α = 113.47°, β = 113.47°, γ = 90.00°
Positions (direct):
Tl  0.3558  0.3558  0.7115
Tl  0.6442  0.6442  0.2885
Au  0.2500  0.7500  0.5000
Au  0.7500  0.2500  0.5000
Rb  0.0000  0.0000  0.0000


Rb2ZnAu2 | meta-GGA SCAN | PBEsol geometry

a = 6.0086 Å, b = 6.0086 Å, c = 6.0086 Å
α = 101.17°, β = 113.77°, γ = 113.77°
Positions (direct):
Zn  0.0000  0.0000  0.0000
Au  0.0000  0.6735  0.6735
Au  0.0000  0.3265  0.3265
Rb  0.5000  0.7500  0.2500
Rb  0.5000  0.2500  0.7500


RbZn2Au2 | meta-GGA SCAN | PBEsol geometry

a = 4.5691 Å, b = 4.5691 Å, c = 6.2353 Å
α = 111.49°, β = 111.49°, γ = 90.00°
Positions (direct):
Zn  0.2500  0.7500  0.5000
Zn  0.7500  0.2500  0.5000
Au  0.3691  0.3691  0.7381
Au  0.6309  0.6309  0.2619
Rb  0.0000  0.0000  0.0000


We obtain final energy values of -244.5 -134.0 -323.7 -304.9 -194.5 -187.4 eV/f.u. for the records listed above, in that order.
We obtain formation enthalpy at 0 K values of -0.058 0.804 -0.393 -0.226 -0.234 -0.270 eV/atom for the records listed above, in that order.
We obtain calculated density values of 9.17 5.57 9.39 10.28 6.37 9.10 Mg/m³ for the records listed above, in that order.